! BaSrDyWO6 | the Alexandria database | GGA+U | optimized geometry; values from VASP
&SYSTEM
  ibrav = 0, nat = 10, ntyp = 5
/
ATOMIC_SPECIES
O 16.00 O.upf
Ba 137.33 Ba.upf
Sr 87.62 Sr.upf
W 183.84 W.upf
Dy 162.50 Dy.upf
ATOMIC_POSITIONS angstrom
O -1.313 3.823 4.944
O -0.542 3.954 7.662
O 2.045 4.797 6.887
O 0.964 2.403 5.837
O -0.233 6.217 5.994
O 1.273 4.667 4.169
Ba 0.183 2.155 2.958
Sr 0.549 6.465 8.873
W 0.366 4.310 5.915
Dy 0.000 0.000 0.000
CELL_PARAMETERS angstrom
1.632 0.277 5.750
2.285 5.064 2.221
-3.186 3.280 3.860
! Energy above the most stable polymorph in this dataset: 0.088 eV/atom
! Total magnetic moment: 1.0 μB per formula unit
! Uncorrected energy: -7.29 eV per atom
! Crystal system: cubic
! V: 151.5 Å³/f.u.